MnP2PtO | PBE with a Hubbard U | optimized geometry

Structure (extended XYZ):
```
5
Lattice="4.899 0.000 0.000 0.000 4.899 0.000 0.000 0.000 3.775" Properties=species:S:1:pos:R:3 pbc="T T T"
P 0.000 2.449 0.000
P 2.449 0.000 0.000
Pt 0.000 0.000 0.000
O 0.000 0.000 1.888
Mn 2.449 2.449 1.888
```

- polymorph energy (0 for the lowest one) (meV per atom) = 0
- theoretical density (g/cm3) = 6.0